BTe2Ru | PBE | relaxed

Cell: 4.1012 4.1012 20.3217 Å, 90.00 90.00 120.00°
Space group R-3m (No. 166, hexagonal axes)
Symmetry-distinct sites (fractional):
B: 0.0000 0.0000 0.0000 [3 per cell]
Te: 0.0000 0.0000 0.1034 [6 per cell]
Ru: 0.0000 0.0000 0.5000 [3 per cell]

Summary:
Energy relative to the elements, uncorrected (meV per atom): 719
Volume (Å³/f.u.): 98.7